# 1
Computed, not measured: crystalline Tm3Zn8Ag3 at its relaxed geometry at the GGA-PBE level of DFT.

Cell and atoms, written as POSCAR:
```
Tm3Zn8Ag3
1.0
4.345 0.000 0.000
2.173 7.958 0.390
2.173 2.542 7.551
Ag Zn Tm
3 8 3
Direct
0.000 0.790 0.210
0.500 0.000 0.000
0.000 0.210 0.790
0.829 0.808 0.534
0.637 0.639 0.087
0.363 0.361 0.913
0.637 0.087 0.639
0.171 0.192 0.466
0.829 0.534 0.808
0.171 0.466 0.192
0.363 0.913 0.361
0.500 0.500 0.500
0.198 0.802 0.802
0.802 0.198 0.198
```

Calculated values
* total energy: -2.575 eV/atom
* Fermi-level density of states: 6.64 states/eV/cell
* M_tot: 0.0 μB/f.u.
* SG: No. 71
* calculated formation energy: -0.28 eV/atom

***

# 2
Computed, not measured: crystalline PCSe at its relaxed geometry at the GGA-PBE level of DFT.

Cell and atoms, written as POSCAR:
```
PCSe
1.0
-2.349 -3.561 2.647
1.313 -1.185 -4.959
6.390 0.069 2.721
Se C P
2 2 2
Direct
0.696 0.710 0.356
0.501 0.267 0.805
0.496 0.767 0.555
0.579 0.059 0.593
0.801 0.207 0.423
0.259 0.517 0.680
```

Calculated values
* total energy: -5.594 eV/atom
* M_tot: 0.0 μB/f.u.
* SG: No. 1
* energy relative to the elements, uncorrected: 0.445 eV per atom
* distance to the lowest polymorph of the same formula: 0.073 eV/atom

***

# 3
Computed, not measured: crystalline ScTc2Se at its relaxed geometry at the GGA-PBE level of DFT.

Cell and atoms, written as POSCAR:
```
ScTc2Se
1.0
8.363 0.017 0.010
7.787 3.050 0.010
7.787 1.479 2.668
Se Sc Tc
1 1 2
Direct
0.750 0.750 0.750
0.250 0.250 0.250
0.492 0.492 0.492
0.008 0.008 0.008
```

Calculated values
* total energy: -7.457 eV/atom
* Fermi-level density of states: 5.91 states/eV/cell
* M_tot: 0.0 μB/f.u.
* SG: No. 166
* energy relative to the elements, uncorrected: 0.180 eV per atom

***

# 4
Computed, not measured: crystalline PmNdTm3Th at its relaxed geometry at the GGA-PBE level of DFT.

Cell and atoms, written as POSCAR:
```
PmNdTm3Th
1.0
5.611 0.000 0.000
-2.806 9.650 1.622
0.000 -1.190 6.959
Th Tm Nd Pm
2 6 2 2
Direct
0.947 0.893 0.758
0.053 0.107 0.242
0.158 0.315 0.753
0.779 0.557 0.748
0.221 0.443 0.252
0.476 0.953 0.248
0.524 0.047 0.752
0.842 0.685 0.247
0.353 0.706 0.541
0.647 0.294 0.459
0.351 0.703 0.961
0.649 0.297 0.039
```

Calculated values
* total energy: -4.839 eV/atom
* Fermi-level density of states: 16.41 states/eV/cell
* M_tot: 0.0 μB/f.u.
* SG: No. 12
* calculated formation energy: 0.22 eV/atom

***

# 5
Computed, not measured: crystalline La3Pm4Y2 at its relaxed geometry at the GGA-PBE level of DFT.

Cell and atoms, written as POSCAR:
```
La3Pm4Y2
1.0
6.277 -0.334 -0.757
-3.372 4.293 -3.251
-1.667 -0.770 13.109
Pm La Y
4 3 2
Direct
0.890 0.780 0.667
0.110 0.220 0.333
0.665 0.332 0.000
0.335 0.668 0.000
0.444 0.888 0.334
0.556 0.112 0.666
0.000 0.000 0.000
0.221 0.444 0.666
0.779 0.556 0.334
```

Calculated values
* total energy: -5.170 eV/atom
* Fermi-level density of states: 14.79 states/eV/cell
* M_tot: 0.0 μB/f.u.
* SG: No. 2
* calculated formation energy: 0.02 eV/atom
* distance to the lowest polymorph of the same formula: 0.000 eV/atom

***

# 6
Computed, not measured: crystalline K3LiAl2F9 at its relaxed geometry at the GGA-PBE level of DFT.

Cell and atoms, written as POSCAR:
```
K3LiAl2F9
1.0
5.764 0.000 0.000
-2.882 4.992 0.000
0.000 0.000 7.022
F Li K Al
9 1 3 2
Direct
0.180 0.359 0.317
0.641 0.820 0.317
0.180 0.820 0.317
0.500 0.500 0.000
0.500 0.000 0.000
0.820 0.641 0.683
0.359 0.180 0.683
0.000 0.500 0.000
0.820 0.180 0.683
0.000 0.000 0.500
0.667 0.333 0.341
0.333 0.667 0.659
0.000 0.000 0.000
0.333 0.667 0.171
0.667 0.333 0.829
```

Calculated values
* total energy: -4.949 eV/atom
* Fermi-level density of states: 1.79 states/eV/cell
* M_tot: 0.0 μB/f.u.
* SG: No. 164
* energy relative to the elements, uncorrected: -2.980 eV per atom

***

# 7
Computed, not measured: crystalline Li2TbCeTl4 at its relaxed geometry at the GGA-PBE level of DFT.

Cell and atoms, written as POSCAR:
```
Li2TbCeTl4
1.0
-5.115 -0.314 -1.090
-1.682 -3.227 -3.769
-3.107 -7.475 4.145
Ce Tl Tb Li
1 4 1 2
Direct
0.000 0.000 0.000
0.377 0.377 0.870
0.126 0.126 0.621
0.623 0.623 0.130
0.874 0.874 0.379
0.500 0.500 0.500
0.249 0.249 0.253
0.751 0.751 0.747
```

Calculated values
* total energy: -3.271 eV/atom
* Fermi-level density of states: 6.96 states/eV/cell
* M_tot: 1.0 μB/f.u.
* SG: No. 166
* calculated formation energy: -0.29 eV/atom

***

# 8
Computed, not measured: crystalline CsMgPO4 at its relaxed geometry at the GGA-PBE level of DFT.

Cell and atoms, written as POSCAR:
```
CsMgPO4
1.0
5.592 0.000 0.000
0.000 9.085 0.000
0.000 0.000 9.887
P Mg O Cs
4 4 16 4
Direct
0.750 0.793 0.419
0.250 0.707 0.919
0.250 0.207 0.581
0.750 0.293 0.081
0.250 0.826 0.585
0.250 0.326 0.915
0.750 0.174 0.415
0.750 0.674 0.085
0.750 0.728 0.274
0.475 0.763 0.995
0.975 0.737 0.495
0.250 0.038 0.588
0.975 0.237 0.005
0.750 0.962 0.412
0.525 0.737 0.495
0.475 0.263 0.505
0.250 0.272 0.726
0.750 0.462 0.088
0.525 0.237 0.005
0.250 0.772 0.774
0.750 0.228 0.226
0.025 0.763 0.995
0.250 0.538 0.912
0.025 0.263 0.505
0.750 0.498 0.694
0.750 0.998 0.806
0.250 0.002 0.194
0.250 0.502 0.306
```

Calculated values
* total energy: -6.476 eV/atom
* Fermi-level density of states: 0.00 states/eV/cell
* M_tot: 0.0 μB/f.u.
* SG: No. 62
* energy relative to the elements, uncorrected: -2.520 eV per atom
* distance to the lowest polymorph of the same formula: 0.000 eV/atom

***

# 9
Computed, not measured: crystalline EuHo2Pb at its relaxed geometry at the GGA-PBE level of DFT.

Cell and atoms, written as POSCAR:
```
EuHo2Pb
1.0
-3.138 -1.672 -0.306
-0.599 -2.178 -2.762
3.139 -10.700 5.454
Eu Ho Pb
1 2 1
Direct
0.500 0.500 0.500
0.914 0.914 0.257
0.086 0.086 0.743
0.000 0.000 0.000
```

Calculated values
* total energy: -5.672 eV/atom
* Fermi-level density of states: 4.91 states/eV/cell
* M_tot: 7.5 μB/f.u.
* SG: No. 166
* calculated formation energy: 0.11 eV/atom
* distance to the lowest polymorph of the same formula: 0.358 eV/atom

***

# 10
Computed, not measured: crystalline LaPr6Sm2 at its relaxed geometry at the GGA-PBE level of DFT.

Cell and atoms, written as POSCAR:
```
LaPr6Sm2
1.0
-5.278 4.189 4.954
-3.947 -7.142 1.833
6.559 -1.505 8.261
Pr Sm La
12 4 2
Direct
0.262 0.262 0.667
0.738 0.738 0.000
0.238 0.762 0.167
0.238 0.762 0.833
0.738 0.738 0.333
0.262 0.262 0.000
0.762 0.238 0.167
0.262 0.262 0.333
0.762 0.238 0.500
0.738 0.738 0.667
0.762 0.238 0.833
0.238 0.762 0.500
0.500 0.500 0.832
0.000 0.000 0.668
0.500 0.500 0.168
0.000 0.000 0.332
0.500 0.500 0.500
0.000 0.000 0.000
```

Calculated values
* total energy: -4.204 eV/atom
* Fermi-level density of states: 30.19 states/eV/cell
* M_tot: 0.0 μB/f.u.
* SG: No. 136
* calculated formation energy: 0.58 eV/atom
* distance to the lowest polymorph of the same formula: 0.411 eV/atom

***

# 11
Computed, not measured: crystalline NaLi2DyAs2 at its relaxed geometry at the GGA-PBE level of DFT.

Cell and atoms, written as POSCAR:
```
NaLi2DyAs2
1.0
4.323 0.000 0.000
-2.162 3.744 0.000
0.000 0.000 7.146
Li Dy As Na
2 1 2 1
Direct
0.333 0.667 0.680
0.667 0.333 0.320
0.000 0.000 0.000
0.333 0.667 0.235
0.667 0.333 0.765
0.000 0.000 0.500
```

Calculated values
* total energy: -4.083 eV/atom
* M_tot: 0.0 μB/f.u.
* SG: No. 164
* calculated formation energy: -0.91 eV/atom

***

# 12
Computed, not measured: crystalline SmCdInCl6 at its relaxed geometry at the GGA-PBE level of DFT.

Cell and atoms, written as POSCAR:
```
SmCdInCl6
1.0
-0.530 -6.671 2.140
5.905 3.615 1.195
-5.097 4.306 12.161
In Cd Cl Sm
2 2 12 2
Direct
0.000 0.000 0.500
0.000 0.000 0.000
0.333 0.667 0.250
0.667 0.333 0.750
0.632 0.005 0.861
0.995 0.627 0.861
0.368 0.995 0.139
0.373 0.005 0.639
0.995 0.368 0.639
0.368 0.373 0.361
0.005 0.373 0.139
0.627 0.995 0.361
0.005 0.632 0.361
0.632 0.627 0.639
0.373 0.368 0.861
0.627 0.632 0.139
0.333 0.667 0.750
0.667 0.333 0.250
```

Calculated values
* total energy: -3.723 eV/atom
* Fermi-level density of states: 0.00 states/eV/cell
* M_tot: 0.0 μB/f.u.
* SG: No. 163
* energy relative to the elements, uncorrected: -1.561 eV per atom